1.
DFT (PBE-GGA) results for an optimized crystal structure of Li2ZnSe.

Computed properties:
- Total energy: -2.589 eV/atom
- Crystal system: tetragonal
- V: 27.9 Å³ per atom
- N(E_F): 0.00 states/eV/cell
- Space-group type: I-42d (122)

Cell lengths 8.161, 8.161, 8.161 Å; angles 139.89, 139.89, 58.01 degrees
Sites, in units of the cell vectors:
Li  0.016  0.625  0.891
Li  0.375  0.266  0.391
Li  0.734  0.125  0.109
Li  0.875  0.984  0.609
Zn  0.250  0.750  0.500
Zn  0.500  0.500  0.000
Se  0.000  0.000  0.000
Se  0.750  0.250  0.500

2.
DFT (PBE-GGA) results for an optimized crystal structure of PmMgHgH.

Computed properties:
- Total energy: -2.969 eV/atom
- Crystal system: tetragonal
- V: 19.6 Å³ per atom
- N(E_F): 1.54 states/eV/cell
- Space-group type: P4/nmm (129)

Cell lengths 4.266, 4.266, 8.630 Å; angles 90.00, 90.00, 90.00 degrees
Sites, in units of the cell vectors:
Pm  0.250  0.250  0.134
Pm  0.750  0.750  0.866
Mg  0.250  0.750  0.500
Mg  0.750  0.250  0.500
Hg  0.250  0.250  0.727
Hg  0.750  0.750  0.273
H  0.250  0.750  0.000
H  0.750  0.250  0.000

3.
DFT (PBE-GGA) results for an optimized crystal structure of K2AlBr.

Computed properties:
- Total energy: -2.355 eV/atom
- Crystal system: orthorhombic
- V: 38.5 Å³ per atom
- N(E_F): 2.57 states/eV/cell
- Space-group type: Imm2 (44)

Cell lengths 10.316, 10.316, 10.316 Å; angles 158.54, 157.42, 31.34 degrees
Sites, in units of the cell vectors:
K  0.000  0.000  0.000
K  0.717  0.217  0.500
Al  0.376  0.376  0.000
Br  0.132  0.632  0.500

4.
DFT (PBE-GGA) results for an optimized crystal structure of KTmGe2Br8.

Computed properties:
- Total energy: -3.508 eV/atom
- Crystal system: triclinic
- V: 36.9 Å³ per atom
- N(E_F): 0.00 states/eV/cell
- Space-group type: P-1 (2)

Cell lengths 6.642, 7.268, 9.216 Å; angles 86.05, 89.40, 85.41 degrees
Sites, in units of the cell vectors:
K  0.000  0.000  0.000
Tm  0.000  0.000  0.500
Ge  0.455  0.447  0.261
Ge  0.545  0.553  0.739
Br  0.226  0.822  0.294
Br  0.228  0.314  0.469
Br  0.266  0.861  0.721
Br  0.271  0.360  0.048
Br  0.729  0.640  0.952
Br  0.734  0.139  0.279
Br  0.772  0.686  0.531
Br  0.774  0.178  0.706

Look up the V of the third one.
38.5 Å³ per atom

What is the formula in the fourth record?
KTmGe2Br8

Which formula does entry 2 have?
PmMgHgH